No. 1
VASP calculation (PBE-GGA) on ZrTlFeCo after structural relaxation.

Values from the calculation:
E in eV/atom: -6.278
Crystal system: cubic
E above lowest polymorph in meV/atom: 188

a b c (Å): 4.5727 4.5727 4.5727
angles (deg): 60.00 60.00 60.00
Site moments in Bohr magnetons follow the coordinates.
Element x y z (fractional)
Fe 0.5000 0.5000 0.5000  2.55
Co 0.7500 0.7500 0.7500  1.43
Tl 0.0000 0.0000 0.0000  -0.01
Zr 0.2500 0.2500 0.2500  -0.23

No. 2
VASP calculation (PBE-GGA) on PrSm2Pb7 after structural relaxation.

Values from the calculation:
E in eV/atom: -4.437
Crystal system: orthorhombic

a b c (Å): 13.2408 13.2408 4.7560
angles (deg): 90.00 90.00 159.25
Element x y z (fractional)
Pb 0.7068 0.2932 0.5000
Pb 0.0981 0.9019 0.5000
Pb 0.5000 0.5000 0.5000
Pb 0.9019 0.0981 0.5000
Pb 0.4025 0.5975 0.0000
Pb 0.5975 0.4025 0.0000
Pb 0.2932 0.7068 0.5000
Sm 0.8117 0.1883 0.0000
Sm 0.1883 0.8117 0.0000
Pr 0.0000 0.0000 0.0000

No. 3
VASP calculation (PBE-GGA) on ZnGeSeO after structural relaxation.

Values from the calculation:
E in eV/atom: -4.347
Crystal system: orthorhombic
E above lowest polymorph in meV/atom: 65

a b c (Å): 5.5192 8.2996 7.1988
angles (deg): 90.00 90.00 90.00
Element x y z (fractional)
Se 0.0161 0.9848 0.2535
Se 0.4839 0.0152 0.7535
Se 0.9839 0.4848 0.2465
Se 0.5161 0.5152 0.7465
Ge 0.2169 0.2774 0.6459
Ge 0.7169 0.2226 0.3541
Ge 0.7831 0.7774 0.8541
Ge 0.2831 0.7226 0.1459
Zn 0.2285 0.8707 0.5385
Zn 0.7285 0.6293 0.4615
Zn 0.7715 0.3707 0.9615
Zn 0.2715 0.1293 0.0385
O 0.0592 0.2588 0.8661
O 0.9408 0.7588 0.6339
O 0.5592 0.2412 0.1339
O 0.4408 0.7412 0.3661

No. 4
VASP calculation (PBE-GGA) on SrTePdO after structural relaxation.

Values from the calculation:
E in eV/atom: -5.065
Crystal system: orthorhombic
E above lowest polymorph in meV/atom: 0

a b c (Å): 6.8980 13.6587 7.5042
angles (deg): 90.00 90.00 90.00
Element x y z (fractional)
Pd 0.7746 0.5599 0.5340
Pd 0.7746 0.9401 0.0340
Pd 0.2254 0.4401 0.4660
Pd 0.2254 0.0599 0.9660
Pd 0.2746 0.9401 0.4660
Pd 0.7254 0.4401 0.0340
Pd 0.2746 0.5599 0.9660
Pd 0.7254 0.0599 0.5340
O 0.8543 0.7894 0.1170
O 0.3543 0.7106 0.8830
O 0.1457 0.2894 0.3830
O 0.8543 0.7106 0.6170
O 0.6457 0.2106 0.6170
O 0.3543 0.7894 0.3830
O 0.1457 0.2106 0.8830
O 0.6457 0.2894 0.1170
Te 0.9984 0.9635 0.7250
Te 0.5016 0.0365 0.2250
Te 0.4984 0.9635 0.7750
Te 0.0016 0.0365 0.2750
Te 0.4984 0.5365 0.2750
Te 0.0016 0.4635 0.7750
Te 0.9984 0.5365 0.2250
Te 0.5016 0.4635 0.7250
Sr 0.8015 0.3076 0.3986
Sr 0.6985 0.6924 0.8986
Sr 0.6985 0.8076 0.3986
Sr 0.3015 0.3076 0.1014
Sr 0.1985 0.8076 0.1014
Sr 0.1985 0.6924 0.6014
Sr 0.8015 0.1924 0.8986
Sr 0.3015 0.1924 0.6014

No. 5
VASP calculation (PBE-GGA) on BaLiMoIr after structural relaxation.

Values from the calculation:
E in eV/atom: -4.795
Crystal system: cubic
E above lowest polymorph in meV/atom: 435

a b c (Å): 4.8887 4.8887 4.8887
angles (deg): 60.00 60.00 60.00
Element x y z (fractional)
Ba 0.2500 0.2500 0.2500
Ir 0.5000 0.5000 0.5000
Li 0.7500 0.7500 0.7500
Mo 0.0000 0.0000 0.0000

No. 6
VASP calculation (PBE-GGA) on Nd3Br2 after structural relaxation.

Values from the calculation:
E in eV/atom: -4.316
Crystal system: trigonal

a b c (Å): 7.3136 7.3136 7.9004
angles (deg): 117.57 62.43 120.00
Element x y z (fractional)
Br 0.8341 0.1659 0.4978
Br 0.3341 0.6659 0.9978
Br 0.1659 0.8341 0.5022
Br 0.6659 0.3341 0.0022
Nd 0.0918 0.5918 0.7500
Nd 0.4082 0.2500 0.7500
Nd 0.2500 0.0918 0.2500
Nd 0.7500 0.9082 0.7500
Nd 0.9082 0.4082 0.2500
Nd 0.5918 0.7500 0.2500

No. 7
VASP calculation (PBE-GGA) on ErCd after structural relaxation.

Values from the calculation:
Formation energy in meV/atom: 714
E in eV/atom: -2.016
Crystal system: cubic

a b c (Å): 4.7436 4.7436 4.7436
angles (deg): 60.00 60.00 60.00
Element x y z (fractional)
Er 0.2500 0.2500 0.2500
Cd 0.0000 0.0000 0.0000

No. 8
VASP calculation (PBE-GGA) on TbAs2 after structural relaxation.

Values from the calculation:
E in eV/atom: -4.983
Crystal system: cubic

a b c (Å): 5.7038 5.7038 5.7038
angles (deg): 60.00 60.00 60.00
Element x y z (fractional)
As 0.6250 0.1250 0.6250
As 0.6250 0.6250 0.1250
As 0.6250 0.6250 0.6250
As 0.1250 0.6250 0.6250
Tb 0.0000 0.0000 0.0000
Tb 0.2500 0.2500 0.2500

Q: E of number 1 (ZrTlFeCo)?
A: -6.278 eV/atom

Q: Which formula does entry 4 have?
A: SrTePdO

Q: Among the records above, which one has the highest E?
A: ErCd

Repeat the second record exactly.
VASP calculation (PBE-GGA) on PrSm2Pb7 after structural relaxation.

Values from the calculation:
E in eV/atom: -4.437
Crystal system: orthorhombic

a b c (Å): 13.2408 13.2408 4.7560
angles (deg): 90.00 90.00 159.25
Element x y z (fractional)
Pb 0.7068 0.2932 0.5000
Pb 0.0981 0.9019 0.5000
Pb 0.5000 0.5000 0.5000
Pb 0.9019 0.0981 0.5000
Pb 0.4025 0.5975 0.0000
Pb 0.5975 0.4025 0.0000
Pb 0.2932 0.7068 0.5000
Sm 0.8117 0.1883 0.0000
Sm 0.1883 0.8117 0.0000
Pr 0.0000 0.0000 0.0000